Ti5Nb5P6: optimized geometry, PBE.

The calculation puts the density of states at the Fermi level at 0.760 states/eV/atom. The space-group type is Amm2 (38). Its total magnetic moment is 0.00 μB per formula unit. The value obtained for the formation energy is -15.78 eV/f.u.

Cell: 5.122 7.332 7.332 Å, 120.12 90.00 90.00°
Positions (direct):
Ti (0.000, 0.000, 0.000)
Ti (0.249, 0.585, 0.918)
Ti (0.249, 0.918, 0.585)
Ti (0.751, 0.585, 0.918)
Ti (0.751, 0.918, 0.585)
Nb (0.000, 0.252, 0.507)
Nb (0.000, 0.507, 0.252)
Nb (0.500, 0.250, 0.997)
Nb (0.500, 0.506, 0.506)
Nb (0.500, 0.997, 0.250)
P (0.000, 0.248, 0.861)
P (0.000, 0.647, 0.647)
P (0.000, 0.861, 0.248)
P (0.500, 0.251, 0.645)
P (0.500, 0.645, 0.251)
P (0.500, 0.859, 0.859)

CaSiSb2: optimized geometry, PBE.

The calculation puts the density of states at the Fermi level at 0.493 states/eV/atom. The space-group type is Pmmm (47). The value obtained for the electronic total energy is -4.024 eV/atom. Its total magnetic moment is 0.00 μB per formula unit.

Cell: 3.988 4.093 6.257 Å, 90.00 90.00 90.00°
Positions (direct):
Ca (0.000, 0.000, 0.000)
Si (0.000, 0.000, 0.500)
Sb (0.500, 0.500, 0.271)
Sb (0.500, 0.500, 0.729)

> Number 1 is which compound?

Ti5Nb5P6

> What is the total magnetic moment in the second record?

0.00 μB per formula unit